Here is Sm2ScSn3Ir4 after structural relaxation from the Alexandria database. Energies are from PBE-GGA.

a b c (Å): 4.3198 4.3198 11.5309
angles (deg): 90.00 90.00 90.00
With the nearest neighbours (Å) after each atom.
Fractional positions:
Sn  0.0000  0.5000  0.1304  5 Ir 2.61-2.63
Sn  0.5000  0.0000  0.8696  5 Ir 2.61-2.63
Sn  0.0000  0.0000  0.5000  4 Ir 2.72
Ir  0.5000  0.0000  0.6432  3 Sn 2.61-2.72, 2 Sc 2.72
Ir  0.5000  0.5000  0.0000  4 Sn 2.63
Ir  0.0000  0.0000  0.0000  4 Sn 2.63
Ir  0.0000  0.5000  0.3568  3 Sn 2.61-2.72, 2 Sc 2.72
Sm  0.0000  0.5000  0.7617  4 Sn 3.30, 8 Ir 3.35-3.49
Sm  0.5000  0.0000  0.2383  4 Sn 3.30, 8 Ir 3.35-3.49
Sc  0.5000  0.5000  0.5000  4 Ir 2.72

Calculated values
SG: No. 115
D(E_F) in states/eV/f.u.: 5.7
Total magnetization in μB/cell: 0.0
E_form in meV per atom: -640
Electronic total energy in Ha/atom: -0.25584

***

Here is KZn2Bi2 after structural relaxation from the Alexandria database. Energies are from PBE-GGA.

a b c (Å): 8.7697 8.7697 3.5317
angles (deg): 90.00 90.00 90.00
With the nearest neighbours (Å) after each atom.
Fractional positions:
Zn  0.8715  0.6285  0.0000  6 Bi 3.09-3.17, 1 Zn 3.19, 2 K 3.45
Zn  0.1285  0.3715  0.0000  6 Bi 3.09-3.17, 1 Zn 3.19, 2 K 3.45
Zn  0.6285  0.1285  0.0000  6 Bi 3.09-3.17, 1 Zn 3.19, 2 K 3.45
Zn  0.3715  0.8715  0.0000  6 Bi 3.09-3.17, 1 Zn 3.19, 2 K 3.45
Bi  0.8411  0.3411  0.5000  6 Zn 3.09-3.17
Bi  0.3411  0.1589  0.5000  6 Zn 3.09-3.17
Bi  0.6589  0.8411  0.5000  6 Zn 3.09-3.17
Bi  0.1589  0.6589  0.5000  6 Zn 3.09-3.17
K  0.5000  0.5000  0.0000  4 Zn 3.45, 2 K 3.53, 8 Bi 3.74
K  0.0000  0.0000  0.0000  4 Zn 3.45, 2 K 3.53, 8 Bi 3.74

Calculated values
SG: No. 127
D(E_F) in states/eV/f.u.: 2.3
Total magnetization in μB/cell: 0.0
E_form in meV per atom: -11
Electronic total energy in Ha/atom: -0.08425

***

Here is Ac3Sm after structural relaxation from the Alexandria database. Energies are from PBE-GGA.

a b c (Å): 3.9436 6.7843 7.4471
angles (deg): 117.10 105.35 90.00
With the nearest neighbours (Å) after each atom.
Fractional positions:
Ac  0.7452  0.0798  0.4905  3 Sm 3.85-3.94, 9 Ac 3.86-3.94
Ac  0.2548  0.5893  0.5095  3 Sm 3.85-3.94, 9 Ac 3.86-3.94
Ac  0.5000  0.4969  0.0000  8 Ac 3.86-3.94, 4 Sm 3.90-3.95
Sm  0.0000  0.0006  0.0000  10 Ac 3.85-3.95, 2 Sm 3.94

Calculated values
SG: No. 44
D(E_F) in states/eV/f.u.: 7.3
Total magnetization in μB/cell: 0.0
E_form in meV per atom: 51
Electronic total energy in Ha/atom: -0.15470

***

Here is Mg5Cd2Hg2Au after structural relaxation from the Alexandria database. Energies are from PBE-GGA.

a b c (Å): 3.3181 11.5855 11.5855
angles (deg): 90.00 90.00 90.00
With the nearest neighbours (Å) after each atom.
Fractional positions:
Mg  0.5000  0.0163  0.8052  2 Au 2.81, 2 Hg 2.90, 2 Cd 3.14
Mg  0.5000  0.3052  0.5163  2 Au 2.81, 2 Hg 2.90, 2 Cd 3.14
Mg  0.5000  0.4837  0.3052  2 Au 2.81, 2 Hg 2.90, 2 Cd 3.14
Mg  0.5000  0.5000  0.0000  4 Hg 2.92, 4 Cd 3.26
Mg  0.5000  0.6948  0.4837  2 Au 2.81, 2 Hg 2.90, 2 Cd 3.14
Mg  0.5000  0.0000  0.5000  4 Hg 2.92, 4 Cd 3.26
Mg  0.5000  0.1948  0.0163  2 Au 2.81, 2 Hg 2.90, 2 Cd 3.14
Mg  0.5000  0.8052  0.9837  2 Au 2.81, 2 Hg 2.90, 2 Cd 3.14
Mg  0.5000  0.5163  0.6948  2 Au 2.81, 2 Hg 2.90, 2 Cd 3.14
Mg  0.5000  0.9837  0.1948  2 Au 2.81, 2 Hg 2.90, 2 Cd 3.14
Hg  0.0000  0.8531  0.3531  6 Mg 2.90-2.92, 1 Cd 2.98
Hg  0.0000  0.3531  0.1469  6 Mg 2.90-2.92, 1 Cd 2.98
Hg  0.0000  0.1469  0.6469  6 Mg 2.90-2.92, 1 Cd 2.98
Hg  0.0000  0.6469  0.8531  6 Mg 2.90-2.92, 1 Cd 2.98
Au  0.0000  0.5000  0.5000  8 Mg 2.81
Au  0.0000  0.0000  0.0000  8 Mg 2.81
Cd  0.0000  0.1711  0.3289  1 Hg 2.98, 6 Mg 3.14-3.26, 2 Cd 3.32
Cd  0.0000  0.6711  0.1711  1 Hg 2.98, 6 Mg 3.14-3.26, 2 Cd 3.32
Cd  0.0000  0.8289  0.6711  1 Hg 2.98, 6 Mg 3.14-3.26, 2 Cd 3.32
Cd  0.0000  0.3289  0.8289  1 Hg 2.98, 6 Mg 3.14-3.26, 2 Cd 3.32

Calculated values
SG: No. 127
D(E_F) in states/eV/f.u.: 4.7
Total magnetization in μB/cell: 0.0
E_form in meV per atom: -184
Electronic total energy in Ha/atom: -0.05705

***

Here is Zr2Be3Re after structural relaxation from the Alexandria database. Energies are from PBE-GGA.

a b c (Å): 4.9396 4.9396 4.9562
angles (deg): 89.98 119.85 120.06
With the nearest neighbours (Å) after each atom.
Fractional positions:
Be  0.0000  0.0000  0.5000  4 Be 2.47, 2 Re 2.48
Be  0.5000  0.0000  0.5000  4 Be 2.47, 2 Re 2.48
Be  0.5000  0.5000  0.5000  4 Be 2.47, 2 Re 2.48
Re  0.0000  0.0000  0.0000  6 Be 2.48
Zr  0.2509  0.6251  0.8760  3 Re 2.89-2.90, 9 Be 2.90-2.91, 4 Zr 3.02-3.05
Zr  0.7491  0.3749  0.1240  3 Re 2.89-2.90, 9 Be 2.90-2.91, 4 Zr 3.02-3.05

Calculated values
SG: No. 166
D(E_F) in states/eV/f.u.: 4.2
Total magnetization in μB/cell: 0.0
E_form in meV per atom: -190
Electronic total energy in Ha/atom: -0.25640

***

Here is HfNp3P4 after structural relaxation from the Alexandria database. Energies are from PBE-GGA.

a b c (Å): 3.8811 6.7327 6.7327
angles (deg): 109.23 90.00 90.00
With the nearest neighbours (Å) after each atom.
Fractional positions:
Hf  0.5000  0.0000  0.0000  6 P 2.67-2.69
P  0.0000  0.7612  0.7612  2 Hf 2.69, 4 Np 2.75-2.81
P  0.0000  0.2388  0.2388  2 Hf 2.69, 4 Np 2.75-2.81
P  0.5000  0.7569  0.2431  1 Hf 2.67, 5 Np 2.75-2.82
P  0.5000  0.2431  0.7569  1 Hf 2.67, 5 Np 2.75-2.82
Np  0.0000  0.0000  0.5000  6 P 2.75
Np  0.0000  0.5000  0.0000  6 P 2.75
Np  0.5000  0.5000  0.5000  6 P 2.81-2.82

Calculated values
SG: No. 65
D(E_F) in states/eV/f.u.: 21.3
Total magnetization in μB/cell: 11.1
E_form in meV per atom: -994
Electronic total energy in Ha/atom: -0.35999

***

Here is Ac7Co3Pd after structural relaxation from the Alexandria database. Energies are from PBE-GGA.

a b c (Å): 7.0111 7.2822 7.2822
angles (deg): 98.13 102.07 102.07
With the nearest neighbours (Å) after each atom.
Fractional positions:
Pd  0.5000  0.5000  0.5000  4 Ac 3.19-3.51
Co  0.0000  0.7722  0.2278  3 Ac 2.78-3.00
Co  0.5000  0.0000  0.0000  6 Ac 2.72-2.93
Co  0.0000  0.2278  0.7722  3 Ac 2.78-3.00
Ac  0.7604  0.8413  0.8413  1 Co 2.72
Ac  0.2396  0.1587  0.1587  1 Co 2.72
Ac  0.7300  0.9487  0.3663  2 Co 2.78-2.93
Ac  0.2700  0.6337  0.0513  2 Co 2.78-2.93
Ac  0.2700  0.0513  0.6337  2 Co 2.78-2.93
Ac  0.7300  0.3663  0.9487  2 Co 2.78-2.93
Ac  0.0000  0.5000  0.5000  2 Co 3.00

Calculated values
SG: No. 12
D(E_F) in states/eV/f.u.: 8.9
Total magnetization in μB/cell: 0.0
E_form in meV per atom: -47
Electronic total energy in Ha/atom: -0.18638

***

Here is PmYMg5 after structural relaxation from the Alexandria database. Energies are from PBE-GGA.

a b c (Å): 5.8030 5.8029 6.6788
angles (deg): 100.66 100.66 113.40
With the nearest neighbours (Å) after each atom.
Fractional positions:
Mg  0.0848  0.5081  0.7732  4 Mg 2.97-3.27, 1 Pm 3.24, 1 Y 3.29
Mg  0.4919  0.9152  0.2268  4 Mg 2.97-3.27, 1 Pm 3.24, 1 Y 3.29
Mg  0.9152  0.4919  0.2268  4 Mg 2.97-3.27, 1 Pm 3.24, 1 Y 3.29
Mg  0.0000  0.0000  0.5000  4 Mg 2.97, 2 Y 3.19
Mg  0.5081  0.0848  0.7732  4 Mg 2.97-3.27, 1 Pm 3.24, 1 Y 3.29
Pm  0.0000  0.0000  0.0000  10 Mg 3.24-3.46
Y  0.5000  0.5000  0.5000  10 Mg 3.19-3.52

Calculated values
SG: No. 12
D(E_F) in states/eV/f.u.: 5.0
Total magnetization in μB/cell: 0.0
E_form in meV per atom: 91
Electronic total energy in Ha/atom: -0.09740